1.
Ca2FeRh: relaxed, GGA-PBEsol.

Cell and atoms, written as POSCAR:
```
Ca2FeRh
1.0
3.299 0.122 0.000
-0.125 3.299 0.000
0.000 0.000 8.241
Ca Fe Rh
2 1 1
direct
0.000 0.000 0.077 Ca
0.500 0.500 0.677 Ca
0.000 0.000 0.429 Fe
0.500 0.500 0.316 Rh
```

Computed properties:
Density   4.4 Mg/m³
Formation enthalpy at 0 K   45 kJ/mol of formula units

2.
ZrIr2Au: relaxed, GGA-PBEsol.

Cell and atoms, written as POSCAR:
```
ZrIr2Au
1.0
-0.910 0.947 2.628
-4.381 0.579 -1.726
0.275 -4.948 0.237
Au Ir Zr
1 2 1
direct
0.254 0.755 0.507 Au
0.007 0.012 0.015 Ir
0.742 0.240 0.484 Ir
0.497 0.494 0.993 Zr
```

Computed properties:
Density   17.3 Mg/m³
Formation enthalpy at 0 K   -101 kJ/mol of formula units

3.
Na3ScCl6: relaxed, GGA-PBEsol.

Cell and atoms, written as POSCAR:
```
Na3ScCl6
1.0
6.647 0.000 -0.007
0.000 7.124 0.000
-0.104 0.000 9.784
Na Sc Cl
6 2 12
direct
0.533 0.085 0.243 Na
0.033 0.415 0.743 Na
0.467 0.915 0.757 Na
0.967 0.585 0.257 Na
0.000 0.000 0.500 Na
0.500 0.500 0.000 Na
0.500 0.500 0.500 Sc
0.000 0.000 0.000 Sc
0.361 0.444 0.266 Cl
0.861 0.056 0.766 Cl
0.639 0.556 0.734 Cl
0.139 0.944 0.234 Cl
0.335 0.206 0.577 Cl
0.835 0.294 0.077 Cl
0.665 0.794 0.423 Cl
0.165 0.706 0.923 Cl
0.803 0.322 0.437 Cl
0.303 0.178 0.937 Cl
0.197 0.678 0.563 Cl
0.697 0.822 0.063 Cl
```

Computed properties:
Formation energy (no corrections)   -1927 meV per atom
Density   2.3 Mg/m³

4.
TaTe2As: relaxed, GGA-PBEsol.

Cell and atoms, written as POSCAR:
```
TaTe2As
1.0
-3.356 -3.562 -0.114
-0.085 -3.396 3.524
-3.639 -0.040 3.274
As Te Ta
1 2 1
direct
0.500 0.500 0.500 As
0.000 0.000 0.000 Te
0.250 0.250 0.250 Te
0.750 0.750 0.750 Ta
```

Computed properties:
Formation energy (no corrections)   428 meV per atom
Density   10.2 Mg/m³

5.
CaMn3Cu3RuO12: relaxed, GGA-PBEsol.

Cell and atoms, written as POSCAR:
```
CaMn3Cu3RuO12
1.0
-0.856 -2.951 -5.426
-0.487 -4.079 4.684
-5.665 -2.591 -0.086
Ca Mn Cu Ru O
1 3 3 1 12
direct
0.000 0.000 0.000 Ca
0.000 0.500 0.000 Mn
0.000 0.000 0.500 Mn
0.500 0.500 0.500 Mn
0.500 0.500 0.000 Cu
0.500 0.000 0.500 Cu
0.000 0.500 0.500 Cu
0.500 0.000 0.000 Ru
0.483 0.311 0.816 O
0.517 0.689 0.184 O
0.299 0.816 0.874 O
0.701 0.184 0.126 O
0.828 0.126 0.689 O
0.172 0.874 0.311 O
0.126 0.303 0.178 O
0.874 0.697 0.822 O
0.304 0.178 0.518 O
0.696 0.822 0.482 O
0.178 0.482 0.697 O
0.822 0.518 0.303 O
```

Computed properties:
Formation energy (no corrections)   -1423 meV per atom
Density   6.1 Mg/m³

6.
IrW: relaxed, GGA-PBEsol.

Cell and atoms, written as POSCAR:
```
IrW
1.0
-2.431 -0.662 -1.096
0.353 -2.607 0.790
-1.745 0.792 3.392
Ir W
1 1
direct
0.500 0.500 0.500 Ir
0.000 0.000 0.000 W
```

Computed properties:
Density   21.2 Mg/m³
Formation enthalpy at 0 K   -57 kJ/mol of formula units

7.
CuH8C2Br3NO: relaxed, GGA-PBEsol.

Cell and atoms, written as POSCAR:
```
CuH8C2Br3NO
1.0
6.360 -0.043 0.041
1.809 7.870 -0.018
1.578 2.854 8.090
Cu H C Br N O
2 16 4 6 2 2
direct
0.258 0.059 0.397 Cu
0.742 0.941 0.603 Cu
0.869 0.195 0.057 H
0.333 0.617 0.724 H
0.686 0.546 0.600 H
0.859 0.492 0.852 H
0.141 0.508 0.148 H
0.439 0.650 0.296 H
0.561 0.350 0.704 H
0.314 0.454 0.400 H
0.938 0.313 0.766 H
0.062 0.687 0.234 H
0.673 0.153 0.978 H
0.619 0.321 0.064 H
0.327 0.847 0.022 H
0.131 0.805 0.943 H
0.667 0.383 0.276 H
0.381 0.679 0.936 H
0.621 0.460 0.722 C
0.198 0.616 0.171 C
0.379 0.540 0.278 C
0.802 0.384 0.829 C
0.630 0.911 0.362 Br
0.917 0.244 0.449 Br
0.083 0.756 0.551 Br
0.370 0.089 0.638 Br
0.775 0.883 0.888 Br
0.225 0.117 0.112 Br
0.266 0.744 0.008 N
0.734 0.256 0.992 N
0.551 0.439 0.202 O
0.449 0.561 0.798 O
```

Computed properties:
Total energy   -4.76 eV per atom
Density   3.0 Mg/m³

8.
Na3ReTe: relaxed, GGA-PBEsol.

Cell and atoms, written as POSCAR:
```
Na3ReTe
1.0
5.593 0.000 0.000
0.000 5.593 0.000
0.000 0.000 5.593
Re Te Na
1 1 3
direct
0.000 0.000 0.000 Re
0.500 0.500 0.500 Te
0.000 0.500 0.000 Na
0.000 0.000 0.500 Na
0.500 0.000 0.000 Na
```

Computed properties:
Formation energy (no corrections)   1308 meV per atom
Density   3.6 Mg/m³

9.
YPH3: relaxed, GGA-PBEsol.

Cell and atoms, written as POSCAR:
```
YPH3
1.0
3.905 0.000 0.000
0.000 3.905 0.000
0.000 0.000 3.905
Y P H
1 1 3
direct
0.000 0.000 0.000 Y
0.500 0.500 0.500 P
0.000 0.500 0.000 H
0.000 0.000 0.500 H
0.500 0.000 0.000 H
```

Computed properties:
Total energy   -4.23 eV per atom
Density   3.4 Mg/m³

10.
Mn2NiCl: relaxed, GGA-PBEsol.

Cell and atoms, written as POSCAR:
```
Mn2NiCl
1.0
-2.635 0.339 1.552
0.545 -1.766 4.360
0.730 2.929 3.649
Cl Mn Ni
1 2 1
direct
0.000 0.500 0.500 Cl
0.253 0.747 0.747 Mn
0.747 0.253 0.253 Mn
0.500 0.000 0.000 Ni
```

Computed properties:
Formation energy (no corrections)   526 meV per atom
Density   6.1 Mg/m³

11.
LaCd4Se: relaxed, GGA-PBEsol.

Cell and atoms, written as POSCAR:
```
LaCd4Se
1.0
-3.282 1.295 -4.695
-5.713 1.198 0.650
-1.960 5.480 -0.791
Cd La Se
4 1 1
direct
0.374 0.374 0.374 Cd
0.374 0.374 0.877 Cd
0.877 0.374 0.374 Cd
0.374 0.877 0.374 Cd
0.750 0.750 0.750 La
0.000 0.000 0.000 Se
```

Computed properties:
Formation energy (no corrections)   -199 meV per atom
Density   7.7 Mg/m³

12.
BaScAs2: relaxed, GGA-PBEsol.

Cell and atoms, written as POSCAR:
```
BaScAs2
1.0
5.064 0.000 0.000
2.532 4.385 0.000
2.532 1.462 4.134
As Ba Sc
2 1 1
direct
0.000 0.000 0.000 As
0.750 0.750 0.750 As
0.500 0.500 0.500 Ba
0.250 0.250 0.250 Sc
```

Computed properties:
Density   6.0 Mg/m³
Formation enthalpy at 0 K   -72 kJ/mol of formula units

13.
CoHgTe3: relaxed, GGA-PBEsol.

Cell and atoms, written as POSCAR:
```
CoHgTe3
1.0
-2.976 -2.077 -3.442
0.289 -4.382 2.394
-4.010 1.226 2.727
Te Co Hg
3 1 1
direct
0.000 0.500 0.000 Te
0.000 0.000 0.500 Te
0.500 0.000 0.000 Te
0.000 0.000 0.000 Co
0.500 0.500 0.500 Hg
```

Computed properties:
Formation energy (no corrections)   351 meV per atom
Density   8.5 Mg/m³

14.
Tl2InMo: relaxed, GGA-PBEsol.

Cell and atoms, written as POSCAR:
```
Tl2InMo
1.0
-1.797 2.421 0.545
-1.298 -1.890 4.115
4.486 2.729 2.668
In Mo Tl
1 1 2
direct
0.000 0.000 0.523 In
0.500 0.500 0.736 Mo
0.000 0.000 0.996 Tl
0.500 0.500 0.245 Tl
```

Computed properties:
Density   12.1 Mg/m³
Formation enthalpy at 0 K   215 kJ/mol of formula units

15.
LaCdSi2F: relaxed, GGA-PBEsol.

Cell and atoms, written as POSCAR:
```
LaCdSi2F
1.0
4.539 0.000 0.000
0.000 4.901 0.000
0.000 0.000 4.901
Si Cd F La
2 1 1 1
direct
0.000 0.000 0.500 Si
0.000 0.500 0.000 Si
0.000 0.000 0.000 Cd
0.500 0.000 0.000 F
0.500 0.500 0.500 La
```

Computed properties:
Formation energy (no corrections)   -323 meV per atom
Density   5.0 Mg/m³

16.
TlHg2Mo: relaxed, GGA-PBEsol.

Cell and atoms, written as POSCAR:
```
TlHg2Mo
1.0
2.867 0.000 0.000
0.000 4.843 0.000
-1.433 -2.421 6.654
Hg Mo Tl
2 1 1
direct
0.997 0.997 0.995 Hg
0.816 0.316 0.632 Hg
0.499 0.499 0.998 Mo
0.188 0.688 0.375 Tl
```

Computed properties:
Density   12.6 Mg/m³
Formation enthalpy at 0 K   205 kJ/mol of formula units

17.
BeCrTeN2: relaxed, GGA-PBEsol.

Cell and atoms, written as POSCAR:
```
BeCrTeN2
1.0
-2.868 -1.617 1.464
-0.167 -2.248 -2.811
3.296 -3.495 2.599
Cr Te Be N
1 1 1 2
direct
0.000 0.000 0.000 Cr
0.000 0.000 0.500 Te
0.500 0.500 0.500 Be
0.000 0.500 0.000 N
0.500 0.000 0.000 N
```

Computed properties:
Formation energy (no corrections)   508 meV per atom
Density   5.1 Mg/m³

18.
SbTe2PdO: relaxed, GGA-PBEsol.

Cell and atoms, written as POSCAR:
```
SbTe2PdO
1.0
4.606 0.000 0.000
0.000 4.752 0.000
0.000 0.000 4.752
Sb Te O Pd
1 2 1 1
direct
0.500 0.000 0.000 Sb
0.000 0.000 0.500 Te
0.000 0.500 0.000 Te
0.000 0.000 0.000 O
0.500 0.500 0.500 Pd
```

Computed properties:
Formation energy (no corrections)   190 meV per atom
Density   8.0 Mg/m³

19.
DyCdRh2: relaxed, GGA-PBEsol.

Cell and atoms, written as POSCAR:
```
DyCdRh2
1.0
-1.511 -2.493 3.561
-0.847 -4.493 -0.531
2.763 -3.111 1.968
Dy Rh Cd
1 2 1
direct
0.000 0.000 0.000 Dy
0.750 0.750 0.750 Rh
0.250 0.250 0.250 Rh
0.500 0.500 0.500 Cd
```

Computed properties:
Density   11.6 Mg/m³
Formation enthalpy at 0 K   -208 kJ/mol of formula units

20.
Li7Nd3Zr2O12: relaxed, GGA-PBEsol.

Cell and atoms, written as POSCAR:
```
Li7Nd3Zr2O12
1.0
-0.107 6.793 8.671
-8.362 2.116 -6.851
-0.988 -10.348 3.643
Li Nd Zr O
28 12 8 48
direct
0.750 0.250 0.500 Li
0.250 0.750 0.500 Li
0.000 0.000 0.000 Li
0.500 0.500 0.000 Li
0.317 0.183 0.500 Li
0.183 0.683 0.866 Li
0.567 0.933 0.000 Li
0.433 0.433 0.366 Li
0.933 0.567 0.000 Li
0.067 0.067 0.634 Li
0.683 0.817 0.500 Li
0.817 0.317 0.134 Li
0.342 0.759 0.741 Li
0.519 0.259 0.417 Li
0.351 0.269 0.759 Li
0.009 0.769 0.917 Li
0.908 0.991 0.759 Li
0.731 0.491 0.083 Li
0.899 0.481 0.741 Li
0.241 0.981 0.583 Li
0.842 0.101 0.583 Li
0.019 0.601 0.259 Li
0.851 0.092 0.083 Li
0.509 0.592 0.241 Li
0.408 0.649 0.917 Li
0.231 0.149 0.241 Li
0.399 0.658 0.417 Li
0.741 0.158 0.259 Li
0.500 0.000 0.500 Nd
0.000 0.500 0.500 Nd
0.750 0.750 0.000 Nd
0.250 0.250 0.000 Nd
0.875 0.252 0.877 Nd
0.875 0.752 0.377 Nd
0.748 0.625 0.623 Nd
0.502 0.125 0.877 Nd
0.375 0.498 0.623 Nd
0.375 0.998 0.123 Nd
0.248 0.625 0.123 Nd
0.002 0.125 0.377 Nd
0.625 0.875 0.750 Zr
0.625 0.375 0.250 Zr
0.625 0.375 0.750 Zr
0.125 0.875 0.750 Zr
0.125 0.375 0.750 Zr
0.125 0.875 0.250 Zr
0.125 0.375 0.250 Zr
0.625 0.875 0.250 Zr
0.722 0.347 0.929 O
0.918 0.847 0.625 O
0.542 0.668 0.571 O
0.597 0.168 0.125 O
0.528 0.403 0.571 O
0.332 0.903 0.875 O
0.708 0.082 0.929 O
0.653 0.582 0.375 O
0.222 0.292 0.375 O
0.418 0.792 0.071 O
0.042 0.472 0.875 O
0.097 0.972 0.429 O
0.028 0.458 0.125 O
0.832 0.958 0.429 O
0.208 0.278 0.625 O
0.153 0.778 0.071 O
0.437 0.164 0.659 O
0.005 0.664 0.727 O
0.527 0.755 0.841 O
0.414 0.255 0.227 O
0.813 0.586 0.841 O
0.245 0.086 0.773 O
0.723 0.995 0.659 O
0.836 0.495 0.273 O
0.937 0.277 0.273 O
0.505 0.777 0.341 O
0.027 0.187 0.773 O
0.914 0.687 0.159 O
0.313 0.473 0.227 O
0.745 0.973 0.159 O
0.223 0.563 0.727 O
0.336 0.063 0.341 O
0.716 0.260 0.658 O
0.101 0.760 0.544 O
0.808 0.851 0.842 O
0.510 0.351 0.044 O
0.534 0.490 0.842 O
0.149 0.990 0.956 O
0.442 0.899 0.658 O
0.740 0.399 0.456 O
0.216 0.558 0.456 O
0.601 0.058 0.342 O
0.308 0.466 0.956 O
0.010 0.966 0.158 O
0.034 0.192 0.044 O
0.649 0.692 0.158 O
0.942 0.284 0.544 O
0.240 0.784 0.342 O
```

Computed properties:
Formation energy (no corrections)   -2810 meV per atom
Density   5.5 Mg/m³